[1]
3
Lattice="4.7360 0.0000 0.0000 2.3680 4.1015 0.0000 2.3680 1.3672 3.8670" Properties=species:S:1:pos:R:3 comment="MgSeBr, optimized geometry, DFT GGA-PBE" space_group=F-43m m_tot_mub_per_cell=0.00 dft_energy_ev_per_cell=-8.44 formation_energy_uncorrected_mev_per_atom=-562 pbc="T T T"
Mg 2.3680 1.3672 0.9667
Se 0.0000 0.0000 0.0000
Br 4.7360 2.7343 1.9335

---

[2]
6
Lattice="0.0000 4.3886 4.3886 4.3886 0.0000 4.3886 4.3886 4.3886 0.0000" Properties=species:S:1:pos:R:3 comment="MgSeBr4, optimized geometry, DFT GGA-PBE" space_group=F-43m m_tot_mub_per_cell=0.78 dft_energy_ev_per_cell=-8.71 formation_energy_uncorrected_mev_per_atom=510 pbc="T T T"
Mg 6.5830 6.5830 6.5830
Br 5.4838 5.4838 3.2934
Br 3.2934 5.4838 5.4838
Br 5.4838 3.2934 5.4838
Br 3.2934 3.2934 3.2934
Se 0.0000 0.0000 0.0000

---

[3]
4
Lattice="3.4136 -0.0980 0.0000 -1.0729 3.2420 0.0000 0.0000 0.0000 12.0468" Properties=species:S:1:pos:R:3 comment="MgSeBr2, optimized geometry, DFT GGA-PBE" space_group=Cmmm m_tot_mub_per_cell=0.63 dft_energy_ev_per_cell=-10.21 formation_energy_uncorrected_mev_per_atom=-446 pbc="T T T"
Mg 1.1703 1.5720 3.0117
Br 0.0000 0.0000 4.7265
Br 0.0000 0.0000 1.2969
Se 1.1703 1.5720 9.0351

---

[4]
3
Lattice="8.6539 0.4287 0.0000 7.1860 4.8410 0.0000 -7.9200 -2.6348 2.3250" Properties=species:S:1:pos:R:3 comment="MgSeBr, optimized geometry, DFT GGA-PBE" space_group=I4mm m_tot_mub_per_cell=0.00 dft_energy_ev_per_cell=-8.74 formation_energy_uncorrected_mev_per_atom=-662 pbc="T T T"
Mg 5.3514 1.7803 0.0000
Br 14.8022 4.9244 0.0000
Se 11.5263 3.8346 0.0000

---

[5]
5
Lattice="5.0827 0.0000 0.0000 0.0000 5.0827 0.0000 0.0000 0.0000 5.0827" Properties=species:S:1:pos:R:3 comment="MgSe3Br, optimized geometry, DFT GGA-PBE" space_group=Pm-3m m_tot_mub_per_cell=0.00 dft_energy_ev_per_cell=-12.33 formation_energy_uncorrected_mev_per_atom=278 pbc="T T T"
Se 0.0000 0.0000 2.5414
Se 0.0000 2.5414 0.0000
Se 2.5414 0.0000 0.0000
Br 2.5414 2.5414 2.5414
Mg 0.0000 0.0000 0.0000

---

[6]
4
Lattice="-0.5032 -5.7175 4.8127 4.1848 -3.3224 5.2492 -2.8234 6.1541 -3.2033" Properties=species:S:1:pos:R:3 comment="Mg2SeBr, optimized geometry, DFT GGA-PBE" space_group=Imm2 m_tot_mub_per_cell=0.00 dft_energy_ev_per_cell=-11.44 formation_energy_uncorrected_mev_per_atom=-774 pbc="T T T"
Se 1.9740 -4.8472 5.3951
Mg -0.9737 -1.4749 2.6893
Mg 3.6439 -8.9474 9.9589
Br 1.7364 -1.1763 3.9082

---

[7]
3
Lattice="4.8863 0.0000 0.0000 2.4432 4.2317 0.0000 2.4432 1.4106 3.9897" Properties=species:S:1:pos:R:3 comment="MgSeBr, optimized geometry, DFT GGA-PBE" space_group=F-43m m_tot_mub_per_cell=0.00 dft_energy_ev_per_cell=-7.23 formation_energy_uncorrected_mev_per_atom=-160 pbc="T T T"
Mg 4.8863 2.8211 1.9948
Br 0.0000 0.0000 0.0000
Se 2.4432 1.4106 0.9974

---

[8]
4
Lattice="-0.7887 0.2271 -4.0622 3.1109 -4.3772 -0.8487 -1.6002 -6.4876 -0.0520" Properties=species:S:1:pos:R:3 comment="MgSeBr2, optimized geometry, DFT GGA-PBE" space_group=Pm m_tot_mub_per_cell=0.00 dft_energy_ev_per_cell=-11.42 formation_energy_uncorrected_mev_per_atom=-749 pbc="T T T"
Br 1.4963 -10.7156 -0.8895
Br -0.1379 -3.3813 -2.2763
Mg 0.9393 -5.6567 -0.4986
Se 0.6904 -7.1814 -2.6495

---

[9]
4
Lattice="-6.9875 2.7682 0.4909 -6.2235 -2.9001 -3.0963 5.9590 -0.2788 4.5979" Properties=species:S:1:pos:R:3 comment="MgSeBr2, optimized geometry, DFT GGA-PBE" space_group=Immm m_tot_mub_per_cell=1.63 dft_energy_ev_per_cell=-10.42 formation_energy_uncorrected_mev_per_atom=-498 pbc="T T T"
Br -11.7551 -0.1173 -2.3183
Br -8.0613 -0.0804 -1.5898
Mg -3.8169 1.2118 1.8931
Se -3.4349 -1.6224 0.0995

---

[10]
8
Lattice="9.9464 0.0000 0.0000 0.0000 9.9464 0.0000 4.9732 4.9732 2.6034" Properties=species:S:1:pos:R:3 comment="MgSeBr2, optimized geometry, DFT GGA-PBE" space_group=I-42d m_tot_mub_per_cell=0.00 dft_energy_ev_per_cell=-20.91 formation_energy_uncorrected_mev_per_atom=-508 pbc="T T T"
Br 5.7133 2.4866 0.6509
Br 7.4598 9.2063 1.9526
Br 12.4330 10.6864 1.9526
Br 4.2331 7.4598 0.6509
Se 0.0000 0.0000 0.0000
Se 9.9464 4.9732 1.3017
Mg 4.9732 4.9732 0.0000
Mg 4.9732 9.9464 1.3017

---

[11]
4
Lattice="3.9487 0.0000 0.0000 0.0000 6.6336 0.0000 0.0000 0.0000 3.8075" Properties=species:S:1:pos:R:3 comment="Mg2SeBr, optimized geometry, DFT GGA-PBE" space_group=Pmmm m_tot_mub_per_cell=0.00 dft_energy_ev_per_cell=-11.01 formation_energy_uncorrected_mev_per_atom=-666 pbc="T T T"
Mg 1.9744 3.3168 0.0000
Mg 0.0000 0.0000 0.0000
Br 0.0000 3.3168 1.9037
Se 1.9744 0.0000 1.9037

---

[12]
5
Lattice="-2.1589 -3.0009 3.8985 -3.1957 -2.3814 -3.6028 3.7404 -3.7666 -0.8280" Properties=species:S:1:pos:R:3 comment="Mg3SeBr, optimized geometry, DFT GGA-PBE" space_group=Pm-3m m_tot_mub_per_cell=0.00 dft_energy_ev_per_cell=-10.80 formation_energy_uncorrected_mev_per_atom=-172 pbc="T T T"
Mg -1.0794 -1.5004 1.9492
Mg -1.5978 -1.1907 -1.8014
Mg 1.8702 -1.8833 -0.4140
Br -0.8071 -4.5745 -0.2662
Se 0.0000 0.0000 0.0000

---

[13]
4
Lattice="-2.5085 2.0842 0.3254 -2.0573 -2.3056 -1.0923 -1.7066 -3.8119 11.2605" Properties=species:S:1:pos:R:3 comment="MgSeBr2, optimized geometry, DFT GGA-PBE" space_group=P4/mmm m_tot_mub_per_cell=0.00 dft_energy_ev_per_cell=-10.13 formation_energy_uncorrected_mev_per_atom=-426 pbc="T T T"
Mg -2.7096 -1.0637 2.4316
Se -3.5629 -2.9696 8.0619
Br -0.1923 -0.4296 1.2689
Br -0.6610 -1.4764 4.3613

---

[14]
4
Lattice="-3.9519 -5.7713 -10.5982 -0.4549 -6.9764 -10.6005 -3.0319 -8.7820 -8.6563" Properties=species:S:1:pos:R:3 comment="MgSeBr2, optimized geometry, DFT GGA-PBE" space_group=R-3m m_tot_mub_per_cell=1.57 dft_energy_ev_per_cell=-10.91 formation_energy_uncorrected_mev_per_atom=-620 pbc="T T T"
Se -5.5791 -16.1472 -22.3912
Br -7.1305 -20.6376 -28.6180
Br -4.0276 -11.6569 -16.1645
Mg -1.8597 -5.3824 -7.4637

---

[15]
4
Lattice="-0.0930 2.0547 -7.2679 -1.5465 -1.4703 -7.2456 -3.3445 1.3885 1.4941" Properties=species:S:1:pos:R:3 comment="Mg2SeBr, optimized geometry, DFT GGA-PBE" space_group=Cm m_tot_mub_per_cell=0.59 dft_energy_ev_per_cell=-11.85 formation_energy_uncorrected_mev_per_atom=-877 pbc="T T T"
Br -1.3616 0.5464 -2.3748
Se -2.7701 1.1047 -5.9401
Mg -2.8907 1.1203 -11.3400
Mg -0.4537 0.1879 0.1257

---

[16]
4
Lattice="3.7415 0.0000 0.0000 0.0000 6.1631 0.0000 0.0000 0.0000 4.2890" Properties=species:S:1:pos:R:3 comment="MgSeBr2, optimized geometry, DFT GGA-PBE" space_group=Pmmm m_tot_mub_per_cell=0.00 dft_energy_ev_per_cell=-9.65 formation_energy_uncorrected_mev_per_atom=-306 pbc="T T T"
Br 1.8707 3.0815 0.0000
Br 0.0000 0.0000 0.0000
Mg 1.8707 0.0000 2.1445
Se 0.0000 3.0815 2.1445

---

[17]
4
Lattice="-4.0798 -3.0871 -0.3216 -0.9410 -3.4000 3.7192 -3.9863 0.6840 3.1495" Properties=species:S:1:pos:R:3 comment="Mg2SeBr, optimized geometry, DFT GGA-PBE" space_group=F-43m m_tot_mub_per_cell=0.31 dft_energy_ev_per_cell=-8.74 formation_energy_uncorrected_mev_per_atom=-98 pbc="T T T"
Mg -2.2518 -1.4508 1.6368
Mg 0.0000 0.0000 0.0000
Br -4.5036 -2.9016 3.2736
Se -6.7553 -4.3523 4.9104

---

[18]
4
Lattice="0.0000 3.6728 3.6728 3.6728 0.0000 3.6728 3.6728 3.6728 0.0000" Properties=species:S:1:pos:R:3 comment="MgSeBr2, optimized geometry, DFT GGA-PBE" space_group=Fm-3m m_tot_mub_per_cell=2.00 dft_energy_ev_per_cell=-8.68 formation_energy_uncorrected_mev_per_atom=-65 pbc="T T T"
Br 5.5093 5.5093 5.5093
Br 1.8364 1.8364 1.8364
Se 3.6728 3.6728 3.6728
Mg 0.0000 0.0000 0.0000

---

[19]
5
Lattice="5.1005 0.0000 0.0000 0.0000 5.1005 0.0000 0.0000 0.0000 5.1698" Properties=species:S:1:pos:R:3 comment="MgSnSe2Br, optimized geometry, DFT GGA-PBE" space_group=P4/mmm m_tot_mub_per_cell=0.00 dft_energy_ev_per_cell=-16.04 formation_energy_uncorrected_mev_per_atom=-360 pbc="T T T"
Mg 0.0000 0.0000 0.0000
Sn 2.5503 2.5503 2.5849
Se 2.5503 0.0000 0.0000
Se 0.0000 2.5503 0.0000
Br 0.0000 0.0000 2.5849

---

[20]
5
Lattice="-2.7007 -3.1654 -3.0447 3.7188 0.2535 -3.5622 2.4328 -4.2291 2.2388" Properties=species:S:1:pos:R:3 comment="SrMgSeBr2, optimized geometry, DFT GGA-PBE" space_group=P4/mmm m_tot_mub_per_cell=0.00 dft_energy_ev_per_cell=-17.44 formation_energy_uncorrected_mev_per_atom=-1466 pbc="T T T"
Br 1.8594 0.1268 -1.7811
Br -1.3503 -1.5827 -1.5223
Se 1.2164 -2.1145 1.1194
Sr 1.7255 -3.5704 -2.1840
Mg 0.0000 0.0000 0.0000